# ZnCrMoO6 GGA+U relaxed
# V, Å³ per atom: 10.94
# E_tot, eV per atom: -6.539
data_ZnCrMoO6
_cell_length_a 4.6547
_cell_length_b 4.6547
_cell_length_c 9.0897
_cell_angle_alpha 90.00
_cell_angle_beta 90.00
_cell_angle_gamma 90.00
_space_group_name_H-M_alt 'P 42 n m'
_space_group_IT_number 102
loop_
_space_group_symop_operation_xyz
'x,y,z'
'-y+1/2,x+1/2,z+1/2'
'-x,-y,z'
'y+1/2,-x+1/2,z+1/2'
'-x+1/2,y+1/2,z+1/2'
'y,x,z'
'x+1/2,-y+1/2,z+1/2'
'-y,-x,z'
loop_
_atom_site_label
_atom_site_type_symbol
_atom_site_fract_x
_atom_site_fract_y
_atom_site_fract_z
Zn1 Zn 0.0000 0.0000 0.0000
Cr1 Cr 0.0000 0.0000 0.3307
Mo1 Mo 0.0000 0.0000 0.6641
O1 O 0.1875 0.1875 0.5000
O2 O 0.2070 0.2070 0.1769
O3 O 0.2115 0.2115 0.8182